# 1
An optimized crystal structure of InAgSn, computed with PBE-GGA.

## Properties
- Fermi-level density of states (states/eV per cell) = 0.90
- ΔE_f (eV per atom) = 0.046

CIF file:
```
data_InAgSn
_chemical_formula_sum 'In1 Ag1 Sn1'
_cell_length_a 3.5502
_cell_length_b 3.5502
_cell_length_c 6.6027
_cell_angle_alpha 90.00
_cell_angle_beta 90.00
_cell_angle_gamma 120.00
_symmetry_space_group_name_H-M 'P 3 m 1'
_symmetry_Int_Tables_number 156
_symmetry_space_group_name_Hall 'P 3 -2"'
loop_
_atom_site_label
_atom_site_type_symbol
_atom_site_fract_x
_atom_site_fract_y
_atom_site_fract_z
In1 In 0.0000 0.0000 0.0000
Ag1 Ag 0.3333 0.6667 0.6854
Sn1 Sn 0.6667 0.3333 0.3694
```


# 2
An optimized crystal structure of Rb2MoSBr, computed with PBE-GGA.

## Properties
- Fermi-level density of states (states/eV per cell) = 1.02
- uncorrected formation energy (meV per atom) = 609

CIF file:
```
data_Rb2MoSBr
_chemical_formula_sum 'Rb2 Mo1 S1 Br1'
_cell_length_a 6.5913
_cell_length_b 6.5913
_cell_length_c 5.0854
_cell_angle_alpha 90.00
_cell_angle_beta 90.00
_cell_angle_gamma 90.00
_symmetry_space_group_name_H-M 'P 4/m m m'
_symmetry_Int_Tables_number 123
_symmetry_space_group_name_Hall '-P 4 2'
loop_
_atom_site_label
_atom_site_type_symbol
_atom_site_fract_x
_atom_site_fract_y
_atom_site_fract_z
Rb1 Rb 0.0000 0.5000 0.0000
Mo1 Mo 0.0000 0.0000 0.5000
S1 S 0.5000 0.5000 0.5000
Br1 Br 0.5000 0.5000 0.0000
```


# 3
An optimized crystal structure of SrLi3Zn, computed with PBE-GGA.

## Properties
- energy relative to the lowest polymorph listed for this composition (kJ/mol of formula units) = 0
- Fermi-level density of states (states/eV per cell) = 4.32
- ΔE_f (eV per atom) = -0.053

CIF file:
```
data_SrLi3Zn
_chemical_formula_sum 'Sr2 Li6 Zn2'
_cell_length_a 7.3252
_cell_length_b 4.7028
_cell_length_c 7.4642
_cell_angle_alpha 90.00
_cell_angle_beta 102.42
_cell_angle_gamma 90.00
_symmetry_space_group_name_H-M 'P 1 21/m 1'
_symmetry_Int_Tables_number 11
_symmetry_space_group_name_Hall '-P 2yb'
loop_
_atom_site_label
_atom_site_type_symbol
_atom_site_fract_x
_atom_site_fract_y
_atom_site_fract_z
Sr1 Sr 0.2047 0.2500 0.1749
Li1 Li 0.0908 0.2500 0.6303
Li2 Li 0.3315 0.7500 0.8868
Li3 Li 0.3563 0.7500 0.5239
Zn1 Zn 0.4575 0.2500 0.7565
```